Compound: SbAsAu2
Source: Alexandria via LeMat-Bulk
Functional: PBE
Structure: optimized geometry

Calculated values
* ρ: 11.17 Mg/m³
* uncorrected formation energy: 0.038 eV/atom
* energy above the most stable polymorph in this dataset: 0.01 eV/f.u.
* D(E_F): 4.0 states/eV/cell
* calculated total energy: -30.4 eV per cell
* spin magnetization: 0.00 μB/f.u.

CIF file:
```
data_SbAsAu2
_cell_length_a 6.805
_cell_length_b 3.978
_cell_length_c 6.893
_cell_angle_alpha 90.00
_cell_angle_beta 109.76
_cell_angle_gamma 90.00
_symmetry_space_group_name_H-M 'C 1 m 1'
_symmetry_Int_Tables_number 8
_symmetry_space_group_name_Hall 'C -2y'
loop_
_atom_site_label
_atom_site_type_symbol
_atom_site_fract_x
_atom_site_fract_y
_atom_site_fract_z
Sb1 Sb 0.000 0.000 0.000
As1 As 0.237 0.000 0.708
Au1 Au 0.001 0.500 0.501
Au2 Au 0.249 0.500 0.247
```